Here is a relaxed Al6ZnTc2 crystal from the Alexandria database. Energies are from PBE.

## Properties
Space group   P2_1/c
Energy   -92.857 eV per cell

Unit cell a=4.9147 b=6.9958 c=9.1376 alpha=90.00 beta=116.89 gamma=90.00
Atoms (fractional coordinates):
Al 0.0486 0.1550 0.4490
Al 0.0486 0.3450 0.9490
Al 0.3913 0.6811 0.4302
Al 0.3913 0.8189 0.9302
Al 0.4107 0.0296 0.3002
Al 0.4107 0.4704 0.8002
Al 0.5893 0.5296 0.1998
Al 0.5893 0.9704 0.6998
Al 0.6087 0.1811 0.0698
Al 0.6087 0.3189 0.5698
Al 0.9514 0.6550 0.0510
Al 0.9514 0.8450 0.5510
Zn 0.0000 0.0000 0.0000
Zn 0.0000 0.5000 0.5000
Tc 0.1433 0.1266 0.7561
Tc 0.1433 0.3734 0.2561
Tc 0.8567 0.6266 0.7439
Tc 0.8567 0.8734 0.2439


Here is a relaxed MgAsBr2Cl crystal from the Alexandria database. Energies are from PBE.

## Properties
Space group   P4/mmm
Formation energy (no corrections)   458 meV/atom

Unit cell a=5.1486 b=5.1486 c=5.3646 alpha=90.00 beta=90.00 gamma=90.00
Atoms (fractional coordinates):
Mg 0.0000 0.0000 0.0000
As 0.5000 0.5000 0.0000
Br 0.0000 0.5000 0.5000
Br 0.5000 0.0000 0.5000
Cl 0.5000 0.5000 0.5000


Here is a relaxed TmCu4Ge2 crystal from the Alexandria database. Energies are from PBE.

## Properties
Space group   P4_2/mnm
Energy   -64.631 eV per cell

Unit cell a=7.3441 b=7.3441 c=3.9623 alpha=90.00 beta=90.00 gamma=90.00
Atoms (fractional coordinates):
Tm 0.0000 0.0000 0.0000
Tm 0.5000 0.5000 0.5000
Cu 0.0916 0.3471 0.5000
Cu 0.1529 0.5916 0.0000
Cu 0.3471 0.0916 0.5000
Cu 0.4084 0.8471 0.0000
Cu 0.5916 0.1529 0.0000
Cu 0.6529 0.9084 0.5000
Cu 0.8471 0.4084 0.0000
Cu 0.9084 0.6529 0.5000
Ge 0.2162 0.7838 0.5000
Ge 0.2838 0.2838 0.0000
Ge 0.7162 0.7162 0.0000
Ge 0.7838 0.2162 0.5000


Here is a relaxed LiNpU2N4 crystal from the Alexandria database. Energies are from PBE.

## Properties
Space group   P2/m
Formation energy (no corrections)   -1078 meV/atom

Unit cell a=5.7754 b=3.4740 c=5.9436 alpha=90.00 beta=109.89 gamma=90.00
Atoms (fractional coordinates):
Li 0.0000 0.0000 0.0000
Np 0.0000 0.5000 0.5000
U 0.5000 0.0000 0.5000
U 0.5000 0.5000 0.0000
N 0.2618 0.0000 0.7607
N 0.2853 0.5000 0.2701
N 0.7147 0.5000 0.7299
N 0.7382 0.0000 0.2393


Number 1: N(E_F) 5.977 states/eV per cell. Number 2: N(E_F) 3.278 states/eV per cell. Number 3: N(E_F) 6.355 states/eV per cell. Number 4: N(E_F) 9.740 states/eV per cell.